(1)
# BaSc4Cr

An optimized crystal structure of BaSc4Cr (GGA-PBE, Alexandria via LeMat-Bulk).

Geometry as extended XYZ:
```
6
Lattice="-4.769 -2.175 3.368 -5.475 -1.159 -2.738 -1.923 -5.878 -0.756" Properties=species:S:1:pos:R:3 pbc="T T T"
Sc -6.968 -4.540 1.677
Ba -9.126 -6.908 -0.094
Sc -5.512 -6.435 -0.433
Cr 0.000 0.000 0.000
Sc -7.330 -4.020 -1.448
Sc -4.527 -3.427 -0.047
```

## Properties
The formation energy is 14.5 kcal/mol of atoms. For the final energy, the calculation gives -33.09 eV for the cell shown.



(2)
# BaSc3Cr

An optimized crystal structure of BaSc3Cr (GGA-PBE, Alexandria via LeMat-Bulk).

Geometry as extended XYZ:
```
5
Lattice="5.211 0.000 0.000 0.000 5.211 0.000 0.000 0.000 5.211" Properties=species:S:1:pos:R:3 pbc="T T T"
Ba 0.000 0.000 0.000
Cr 2.606 2.606 2.606
Sc 0.000 0.000 2.606
Sc 2.606 0.000 0.000
Sc 0.000 2.606 0.000
```

## Properties
The formation energy is 44.3 kcal/mol of atoms. For the offset from the most stable computed form, the calculation gives 1.565 eV/atom. For the final energy, the calculation gives -20.94 eV for the cell shown.



(3)
# BaScCr

An optimized crystal structure of BaScCr (GGA-PBE, Alexandria via LeMat-Bulk).

Geometry as extended XYZ:
```
3
Lattice="-2.869 -2.784 3.309 -4.098 -2.672 -1.731 0.160 -5.185 -0.154" Properties=species:S:1:pos:R:3 pbc="T T T"
Sc -3.403 -5.321 0.712
Cr 0.000 0.000 0.000
Ba -5.105 -7.981 1.068
```

## Properties
The formation energy is 32.1 kcal/mol of atoms. For the offset from the most stable computed form, the calculation gives 0.826 eV/atom. For the final energy, the calculation gives -13.70 eV for the cell shown.



(4)
# BaSc2Cr

An optimized crystal structure of BaSc2Cr (GGA-PBE, Alexandria via LeMat-Bulk).

Geometry as extended XYZ:
```
4
Lattice="-0.587 -3.075 5.783 -0.906 -3.344 -5.589 2.547 -2.115 -0.021" Properties=species:S:1:pos:R:3 pbc="T T T"
Sc -0.747 -3.210 0.097
Sc 0.000 0.000 0.000
Ba 0.980 -2.595 2.881
Cr 0.820 -2.730 -2.805
```

## Properties
The formation energy is 16.2 kcal/mol of atoms. For the offset from the most stable computed form, the calculation gives 0.370 eV/atom. For the final energy, the calculation gives -21.40 eV for the cell shown.



(5)
# BaScCr

An optimized crystal structure of BaScCr (GGA-PBE, Alexandria via LeMat-Bulk).

Geometry as extended XYZ:
```
3
Lattice="-4.641 -0.111 -2.439 -2.392 -4.584 -0.877 -4.336 -1.249 2.672" Properties=species:S:1:pos:R:3 pbc="T T T"
Cr -8.527 -4.458 -0.484
Sc 0.000 0.000 0.000
Ba -5.685 -2.972 -0.322
```

## Properties
The formation energy is 21.3 kcal/mol of atoms. For the offset from the most stable computed form, the calculation gives 0.357 eV/atom. For the final energy, the calculation gives -15.11 eV for the cell shown.



(6)
# BaSc2Cr

An optimized crystal structure of BaSc2Cr (GGA-PBE, Alexandria via LeMat-Bulk).

Geometry as extended XYZ:
```
4
Lattice="3.388 0.000 0.000 0.000 3.387 0.033 0.000 3.296 9.502" Properties=species:S:1:pos:R:3 pbc="T T T"
Sc 0.000 3.334 5.582
Sc 0.000 3.303 8.687
Ba 1.694 1.671 2.384
Cr 1.694 5.012 7.151
```

## Properties
The formation energy is 7.7 kcal/mol of atoms. For the offset from the most stable computed form, the calculation gives 0.000 eV/atom. For the final energy, the calculation gives -22.88 eV for the cell shown.